1.
UInB: optimized geometry, PBE.

Cell: 8.9174 7.4726 5.3788 Å, 86.25 56.74 37.01°
Fractional positions:
U1 0.1798 0.1798 0.8202
U2 0.8202 0.8202 0.1798
In1 0.3644 0.6356 0.3644
In2 0.6356 0.3644 0.6356
B1 0.2500 0.2500 0.2500
B2 0.7500 0.7500 0.7500

calculated volume: 20.21 Å³/atom
electronic total energy: -6.520 eV per atom
space-group type: No. 69

---

2.
VIn2B: optimized geometry, PBE.

Cell: 8.2525 8.2525 4.4565 Å, 90.00 90.00 90.00°
Fractional positions:
V1 0.0000 0.0000 0.0000
V2 0.0000 0.5000 0.2500
V3 0.5000 0.0000 0.7500
V4 0.5000 0.5000 0.5000
In1 0.1343 0.2500 0.6250
In2 0.2500 0.6343 0.8750
In3 0.2500 0.8657 0.3750
In4 0.3657 0.2500 0.1250
In5 0.6343 0.7500 0.1250
In6 0.7500 0.1343 0.3750
In7 0.7500 0.3657 0.8750
In8 0.8657 0.7500 0.6250
B1 0.0000 0.0000 0.5000
B2 0.0000 0.5000 0.7500
B3 0.5000 0.0000 0.2500
B4 0.5000 0.5000 0.0000

calculated volume: 18.97 Å³/atom
electronic total energy: -4.705 eV per atom
space-group type: No. 122